1.
ZrVAs2Rh: optimized geometry, PBE.

## Properties
Its energy of formation from the pure elements is 0.445 eV per atom. As for the space group: P4/mmm (123).

Lattice parameters (Å, degrees): 4.5918 4.5918 4.7923 90.00 90.00 90.00
Fractional positions:
Zr  0.0000  0.0000  0.0000
V  0.0000  0.0000  0.5000
As  0.0000  0.5000  0.5000
As  0.5000  0.0000  0.5000
Rh  0.5000  0.5000  0.0000


2.
Co2AsOs: optimized geometry, PBE.

## Properties
Its energy of formation from the pure elements is 0.297 eV per atom. As for the space group: I4/mmm (139).

Lattice parameters (Å, degrees): 4.5118 4.5118 4.5118 131.96 131.96 70.28
Fractional positions:
Co  0.2500  0.7500  0.5000
Co  0.7500  0.2500  0.5000
As  0.0000  0.0000  0.0000
Os  0.5000  0.5000  0.0000


3.
AcNd10Ho4: optimized geometry, PBE.

## Properties
Its energy of formation from the pure elements is 0.476 eV per atom. As for the space group: I4/m (87).

Lattice parameters (Å, degrees): 9.6939 9.6939 9.6939 97.39 97.39 137.97
Fractional positions:
Ac  0.0000  0.0000  0.0000
Nd  0.0427  0.8816  0.4184
Nd  0.1184  0.5368  0.1611
Nd  0.2500  0.7500  0.5000
Nd  0.3756  0.9573  0.8389
Nd  0.4632  0.6244  0.5816
Nd  0.5368  0.3756  0.4184
Nd  0.6244  0.0427  0.1611
Nd  0.7500  0.2500  0.5000
Nd  0.8816  0.4632  0.8389
Nd  0.9573  0.1184  0.5816
Ho  0.3217  0.5676  0.8894
Ho  0.4324  0.3217  0.7541
Ho  0.5676  0.6783  0.2459
Ho  0.6783  0.4324  0.1106


Size of the total moment (computed, μB per cell): 0.00, 0.69, 0.00
Volume (computed, Å³/f.u.): 101, 50, 569